First-principles (GGA-PBEsol) data for an optimized crystal structure of NiSnOs3, as listed in Alexandria.

Structure (POSCAR):
```
NiSnOs3
1.0
4.7457 0.0000 0.0000
0.0000 4.7457 0.0000
0.0000 0.0000 4.7457
Ni Sn Os
1 1 3
Cartesian
0.0000 0.0000 0.0000
2.3729 2.3729 2.3729
0.0000 2.3729 2.3729
2.3729 0.0000 2.3729
2.3729 2.3729 0.0000
```

Results
symmetry = Pm-3m

First-principles (GGA-PBEsol) data for an optimized crystal structure of Sr4NiOs, as listed in Alexandria.

Structure (POSCAR):
```
Sr4NiOs
1.0
0.0000 4.3614 4.3614
4.3614 0.0000 4.3614
4.3614 4.3614 0.0000
Sr Ni Os
4 1 1
Cartesian
1.0850 1.0850 1.0850
3.2764 3.2764 1.0850
3.2764 1.0850 3.2764
1.0850 3.2764 3.2764
4.3614 4.3614 4.3614
6.5421 6.5421 6.5421
```

Results
symmetry = F-43m

First-principles (GGA-PBEsol) data for an optimized crystal structure of SrNiOs2, as listed in Alexandria.

Structure (POSCAR):
```
SrNiOs2
1.0
2.7927 0.0000 0.0000
0.0000 3.5843 0.0000
0.0000 0.0000 6.9851
Sr Ni Os
1 1 2
Cartesian
0.0000 0.0000 0.0000
1.3963 1.7921 2.0999
0.0000 0.0000 3.4302
1.3963 1.7921 4.6075
```

Results
symmetry = Pmm2
energy above the lowest structure with this stoichiometry = 0 meV/atom

First-principles (GGA-PBEsol) data for an optimized crystal structure of SrNiOs2, as listed in Alexandria.

Structure (POSCAR):
```
SrNiOs2
1.0
2.7965 0.0000 0.0000
0.0000 2.7965 0.0000
0.0000 0.0000 8.2057
Sr Ni Os
1 1 2
Cartesian
0.0000 0.0000 0.0000
0.0000 0.0000 4.1028
1.3982 1.3982 2.5471
1.3982 1.3982 5.6586
```

Results
symmetry = P4/mmm
energy above the lowest structure with this stoichiometry = 214 meV/atom

First-principles (GGA-PBEsol) data for an optimized crystal structure of SrNiOs2, as listed in Alexandria.

Structure (POSCAR):
```
SrNiOs2
1.0
2.3899 -3.4279 0.0000
2.3899 3.4279 0.0000
0.0000 0.0000 4.4217
Sr Ni Os
1 1 2
Cartesian
0.0000 0.0000 0.0000
2.3899 0.0000 0.0000
2.3899 1.2338 2.2109
2.3899 -1.2338 2.2109
```

Results
symmetry = Cmmm
energy above the lowest structure with this stoichiometry = 187 meV/atom

First-principles (GGA-PBEsol) data for an optimized crystal structure of TaNi4Os, as listed in Alexandria.

Structure (POSCAR):
```
TaNi4Os
1.0
0.0000 3.2853 3.2853
3.2853 0.0000 3.2853
3.2853 3.2853 0.0000
Ta Ni Os
1 4 1
Cartesian
0.0000 0.0000 0.0000
2.4680 2.4680 2.4680
4.1027 4.1027 2.4680
4.1027 2.4680 4.1027
2.4680 4.1027 4.1027
4.9280 4.9280 4.9280
```

Results
symmetry = F-43m

First-principles (GGA-PBEsol) data for an optimized crystal structure of TaNi2Os, as listed in Alexandria.

Structure (POSCAR):
```
TaNi2Os
1.0
3.7121 0.0000 0.0000
0.0000 3.7121 0.0000
0.0000 0.0000 3.7543
Ta Ni Os
1 2 1
Cartesian
0.0000 0.0000 0.0000
0.0000 1.8560 1.8772
1.8560 0.0000 1.8772
1.8560 1.8560 0.0000
```

Results
symmetry = P4/mmm

First-principles (GGA-PBEsol) data for an optimized crystal structure of Ta2Ni2Os, as listed in Alexandria.

Structure (POSCAR):
```
Ta2Ni2Os
1.0
6.6605 0.0000 0.0000
0.0000 6.6605 0.0000
0.0000 0.0000 3.1211
Ta Ni Os
4 4 2
Cartesian
1.2011 2.1291 0.0000
2.1291 5.4594 0.0000
4.5314 1.2011 0.0000
5.4594 4.5314 0.0000
0.8133 4.1436 1.5605
2.5170 0.8133 1.5605
4.1436 5.8472 1.5605
5.8472 2.5170 1.5605
0.0000 0.0000 1.5605
3.3303 3.3303 1.5605
```

Results
symmetry = P4/mbm

The calculation returns the following Fermi-level density of states values, one per record and in order: 2.244; 1.373; 1.046; 0.493; 0.749; 1.004; 1.128; 0.791 states/eV/atom.
The calculation returns the following calculated formation energy values, one per record and in order: 15.9; 9.2; 2.0; 2.8; 2.7; -1.2; -1.1; -1.4 eV per formula unit.